# 1
Crystalline SiBF at its relaxed geometry, computed with PBE.

Formation energy without anion corrections in eV per formula unit: -2.1
SG: No. 8

a b c (Å): 5.086 5.086 6.631
angles (deg): 126.91 126.91 31.40
Element x y z (fractional)
1 Si 0.000 0.000 0.000
2 Si 0.166 0.166 0.476
3 B 0.674 0.674 0.967
4 B 0.725 0.725 0.762
5 F 0.359 0.359 0.543
6 F 0.827 0.827 0.218

=====

# 2
Crystalline PrErMgSc at its relaxed geometry, computed with PBE.

SG: No. 8
ΔH_f (0 K) in eV/f.u.: 0.40

a b c (Å): 10.156 10.156 3.472
angles (deg): 90.00 90.00 19.03
Element x y z (fractional)
1 Pr 0.000 0.000 0.000
2 Er 0.239 0.239 0.000
3 Mg 0.623 0.623 0.501
4 Sc 0.853 0.853 0.500

=====

# 3
Crystalline K2InCo at its relaxed geometry, computed with PBE.

SG: No. 12
ΔH_f (0 K) in eV/f.u.: 1.31

a b c (Å): 10.362 10.362 4.073
angles (deg): 101.05 101.05 18.50
Element x y z (fractional)
1 K 0.149 0.149 0.145
2 K 0.851 0.851 0.855
3 In 0.000 0.000 0.500
4 Co 0.500 0.500 0.000

=====

# 4
Crystalline CaEu2Mg at its relaxed geometry, computed with PBE.

SG: No. 123
ΔH_f (0 K) in eV/f.u.: -0.12

a b c (Å): 4.015 4.015 9.358
angles (deg): 90.00 90.00 90.00
Element x y z (fractional)
1 Ca 0.000 0.000 0.000
2 Eu 0.500 0.500 0.287
3 Eu 0.500 0.500 0.713
4 Mg 0.000 0.000 0.500

=====

# 5
Crystalline Pr2DySb at its relaxed geometry, computed with PBE.

Formation energy without anion corrections in eV per formula unit: -2.1
SG: No. 123

a b c (Å): 4.888 4.888 4.959
angles (deg): 90.00 90.00 90.00
Element x y z (fractional)
1 Pr 0.000 0.500 0.000
2 Pr 0.500 0.000 0.000
3 Dy 0.000 0.000 0.500
4 Sb 0.500 0.500 0.500

=====

# 6
Crystalline FePd6W at its relaxed geometry, computed with PBE.

SG: No. 123
ΔH_f (0 K) in eV/f.u.: -0.39

a b c (Å): 3.923 3.923 7.819
angles (deg): 90.00 90.00 90.00
Element x y z (fractional)
1 Fe 0.000 0.000 0.000
2 Pd 0.000 0.500 0.253
3 Pd 0.000 0.500 0.747
4 Pd 0.500 0.000 0.253
5 Pd 0.500 0.000 0.747
6 Pd 0.500 0.500 0.000
7 Pd 0.500 0.500 0.500
8 W 0.000 0.000 0.500